VASP calculation (meta-GGA SCAN) on a crystal of Be2Ir2Pt relaxed with PBEsol.

Symmetry   P4/mbm (127)
ΔE_f   -401 meV per atom
Electronic total energy   -44.620 eV/atom

a b c (Å): 6.4801 6.4801 2.7817
angles (deg): 90.00 90.00 90.00
With the nearest neighbours (Å) after each atom.
Fractional positions:
Be (0.1265, 0.3735, 0.0000)  1 Be 2.32, 6 Ir 2.34-2.38, 2 Pt 2.56
Be (0.3735, 0.8735, 0.0000)  1 Be 2.32, 6 Ir 2.34-2.38, 2 Pt 2.56
Be (0.6265, 0.1265, 0.0000)  1 Be 2.32, 6 Ir 2.34-2.38, 2 Pt 2.56
Be (0.8735, 0.6265, 0.0000)  1 Be 2.32, 6 Ir 2.34-2.38, 2 Pt 2.56
Ir (0.1681, 0.6681, 0.5000)  6 Be 2.34-2.38
Ir (0.3319, 0.1681, 0.5000)  6 Be 2.34-2.38
Ir (0.6681, 0.8319, 0.5000)  6 Be 2.34-2.38
Ir (0.8319, 0.3319, 0.5000)  6 Be 2.34-2.38
Pt (0.0000, 0.0000, 0.0000)  4 Be 2.56, 2 Pt 2.78, 8 Ir 2.78
Pt (0.5000, 0.5000, 0.0000)  4 Be 2.56, 2 Pt 2.78, 8 Ir 2.78